Entry 1:
The following is a DFT calculation (GGA-PBE) of a geometry-optimized In3Sn2Hg4 structure.

Cell: 3.3628 3.3628 24.9525 Å, 90.00 90.00 120.00°
Last column: nearest neighbours and their distance in Å.
Fractional coordinates of all 9 atoms:
Hg 0.6667 0.3333 0.2147  1 Sn 3.01, 3 In 3.34, 6 Hg 3.36
Hg 0.6667 0.3333 0.4341  9 Hg 3.32-3.36, 3 In 3.37
Hg 0.0000 0.0000 0.7612  3 In 3.30, 3 Sn 3.35, 6 Hg 3.36
Hg 0.0000 0.0000 0.5423  9 Hg 3.32-3.36, 3 In 3.41
In 0.0000 0.0000 0.9821  6 In 3.36, 6 Sn 3.39-3.40
In 0.0000 0.0000 0.3235  6 Hg 3.34-3.37, 6 In 3.36
In 0.6667 0.3333 0.6544  6 Hg 3.30-3.41, 6 In 3.36
Sn 0.6667 0.3333 0.8708  3 Hg 3.35, 6 Sn 3.36, 3 In 3.39
Sn 0.6667 0.3333 0.0942  1 Hg 3.01, 6 Sn 3.36

Results
energy of formation = 0.03 eV/atom
V = 244.37 Å³/cell
M_tot = 0.0 μB per formula unit
total DFT energy (no corrections) = -1.9022 eV per atom
SG = P3m1, No. 156

Entry 2:
The following is a DFT calculation (GGA-PBE) of a geometry-optimized LaMg3Ga structure.

Cell: 6.1592 6.1592 6.1592 Å, 90.00 90.00 90.00°
Last column: nearest neighbours and their distance in Å.
Fractional coordinates of all 5 atoms:
Ga 0.5000 0.5000 0.5000  12 Mg 4.36
Mg 0.0000 0.5000 0.0000  2 La 3.08
Mg 0.0000 0.0000 0.5000  2 La 3.08
Mg 0.5000 0.0000 0.0000  2 La 3.08
La 0.0000 0.0000 0.0000  6 Mg 3.08

Results
energy of formation = 1.18 eV/atom
V = 233.65 Å³/cell
M_tot = 2.5 μB per formula unit
total DFT energy (no corrections) = -1.3630 eV per atom
SG = Pm-3m, No. 221

Entry 3:
The following is a DFT calculation (GGA-PBE) of a geometry-optimized BeRh3 structure.

Cell: 2.7259 3.6054 5.3053 Å, 90.00 90.00 90.00°
Last column: nearest neighbours and their distance in Å.
Fractional coordinates of all 4 atoms:
Rh 0.0000 0.0000 0.5000  2 Be 2.65, 10 Rh 2.65-2.73
Rh 0.5000 0.5000 0.2374  8 Rh 2.52-2.79, 4 Be 2.59
Rh 0.5000 0.5000 0.7626  8 Rh 2.52-2.79, 4 Be 2.59
Be 0.0000 0.0000 0.0000  10 Rh 2.59-2.65, 2 Be 2.73

Results
energy of formation = -0.10 eV/atom
V = 52.14 Å³/cell
M_tot = 0.0 μB per formula unit
total DFT energy (no corrections) = -6.5496 eV per atom
SG = Pmmm, No. 47